Entry 1:
{
  "formula": "NaLuHg",
  "functional": "GGA-PBE",
  "state": "optimized geometry",
  "formation_energy_ev_per_atom": -0.097,
  "dos_ef_per_ev_atom": 0.429,
  "m_tot_mub_per_cell": 0.00,
  "spacegroup": "No. 107",
  "lattice": [[-1.840, 1.840, 6.413], [1.840, -1.840, 6.413], [1.840, 1.840, -6.413]],
  "species": ["Na", "Lu", "Hg"],
  "fractional_positions": [[0.000, 0.000, 0.000], [0.281, 0.281, 0.000], [0.664, 0.664, 0.000]]
}


Entry 2:
{
  "formula": "KLi2Ta",
  "functional": "GGA-PBE",
  "state": "optimized geometry",
  "polymorph_energy_ev_per_fu": 0.257,
  "formation_energy_ev_per_atom": 0.696,
  "dos_ef_per_ev_atom": 0.883,
  "m_tot_mub_per_cell": 0.19,
  "spacegroup": "No. 99",
  "lattice": [[2.919, 0.000, 0.000], [0.000, 2.919, 0.000], [0.000, 0.000, 10.647]],
  "species": ["K", "Li", "Li", "Ta"],
  "fractional_positions": [[0.000, 0.000, 0.000], [0.000, 0.000, 0.508], [0.500, 0.500, 0.308], [0.500, 0.500, 0.705]]
}